No. 1
Here is an optimized crystal structure of NdThSbSe from Alexandria via LeMat-Bulk. Energies are from GGA-PBE.

Output
As for the calculated total energy: -0.230 Ha/atom. Its magnetization is 0.00 Bohr magnetons per cell. The value obtained for the density of states at the Fermi level is 2.8 states/eV/f.u. The calculated volume comes out at 118.2 Å³ per cell.

abc: 4.355 4.355 6.230
angles: 90.00 90.00 90.00
Space group P4/mmm (No. 123)
Unique sites:
Nd: 0.000 0.000 0.000 (multiplicity 1)
Th: 0.500 0.500 0.500 (multiplicity 1)
Sb: 0.500 0.500 0.000 (multiplicity 1)
Se: 0.000 0.000 0.500 (multiplicity 1)



No. 2
Here is an optimized crystal structure of NdTl2SbSe4 from Alexandria via LeMat-Bulk. Energies are from GGA-PBE.

Output
As for the calculated total energy: -0.158 Ha/atom. Its magnetization is 0.00 Bohr magnetons per cell. The value obtained for the density of states at the Fermi level is 0.1 states/eV/f.u. The calculated volume comes out at 968.7 Å³ per cell.

abc: 8.806 8.814 12.481
angles: 90.00 90.00 90.00
Space group Imma (No. 74)
Unique sites:
Nd: 0.250 0.250 0.250 (multiplicity 4)
Tl: 0.000 0.000 0.000 (multiplicity 4)
Tl: 0.250 0.250 0.750 (multiplicity 4)
Sb: 0.000 0.000 0.500 (multiplicity 4)
Se: 0.000 0.022 0.265 (multiplicity 8)
Se: 0.223 0.250 0.490 (multiplicity 8)



No. 3
Here is an optimized crystal structure of NdTl2Sb2Se6 from Alexandria via LeMat-Bulk. Energies are from GGA-PBE.

Output
As for the calculated total energy: -0.153 Ha/atom. Its magnetization is 0.00 Bohr magnetons per cell. The value obtained for the density of states at the Fermi level is 8.3 states/eV/f.u. The calculated volume comes out at 698.1 Å³ per cell.

abc: 7.228 12.546 8.030
angles: 90.00 106.50 90.00
Space group C2/m (No. 12)
Unique sites:
Nd: 0.000 0.000 0.000 (multiplicity 2)
Tl: 0.000 0.160 0.500 (multiplicity 4)
Sb: 0.000 0.333 0.000 (multiplicity 4)
Se: 0.222 0.500 0.212 (multiplicity 4)
Se: 0.237 0.174 0.209 (multiplicity 8)



No. 4
Here is an optimized crystal structure of Nd2Tl3SbSe6 from Alexandria via LeMat-Bulk. Energies are from GGA-PBE.

Output
As for the calculated total energy: -0.166 Ha/atom. Its magnetization is 0.00 Bohr magnetons per cell. The calculated volume comes out at 739.3 Å³ per cell.

abc: 7.444 12.897 8.091
angles: 90.00 107.88 90.00
Space group C2/m (No. 12)
Unique sites:
Nd: 0.000 0.166 0.000 (multiplicity 4)
Tl: 0.000 0.000 0.500 (multiplicity 2)
Tl: 0.000 0.330 0.500 (multiplicity 4)
Sb: 0.000 0.500 0.000 (multiplicity 2)
Se: 0.232 0.337 0.208 (multiplicity 8)
Se: 0.244 0.000 0.212 (multiplicity 4)